1.
A relaxed Cs2AlCrCl6 crystal. Source: Alexandria, functional GGA-PBE.

a = 7.3295 Å, b = 7.3295 Å, c = 7.3295 Å
α = 121.53°, β = 121.53°, γ = 87.37°
Sites, in units of the cell vectors:
Cs1 0.2500 0.7500 0.5000
Cs2 0.7500 0.2500 0.5000
Al1 0.0000 0.0000 0.0000
Cr1 0.5000 0.5000 0.0000
Cl1 0.2225 0.2225 0.0000
Cl2 0.2404 0.2404 0.4809
Cl3 0.2404 0.7596 0.0000
Cl4 0.7596 0.2404 0.0000
Cl5 0.7596 0.7596 0.5191
Cl6 0.7775 0.7775 0.0000

## Properties
**Formation energy from raw total energies**: -14.371 eV/f.u.
**Density of states at the Fermi level**: 0.5 states/eV/cell
**Mass density**: 3.4 g/cm3
**Calculated volume**: 27.17 Å³ per atom



2.
A relaxed Al2CrGaCl crystal. Source: Alexandria, functional GGA-PBE.

a = 4.6305 Å, b = 4.6305 Å, c = 4.8547 Å
α = 90.00°, β = 90.00°, γ = 90.00°
Sites, in units of the cell vectors:
Al1 0.0000 0.5000 0.0000
Al2 0.5000 0.0000 0.0000
Cr1 0.0000 0.0000 0.5000
Ga1 0.5000 0.5000 0.5000
Cl1 0.5000 0.5000 0.0000

## Properties
**Formation energy from raw total energies**: 6.022 eV/f.u.
**Density of states at the Fermi level**: 5.7 states/eV/cell
**Mass density**: 3.4 g/cm3
**Calculated volume**: 20.82 Å³ per atom



3.
A relaxed KAlCrCl6 crystal. Source: Alexandria, functional GGA-PBE.

a = 6.3660 Å, b = 6.3660 Å, c = 13.9588 Å
α = 90.00°, β = 90.00°, γ = 120.00°
Sites, in units of the cell vectors:
K1 0.0000 0.0000 0.0000
K2 0.0000 0.0000 0.5000
Al1 0.3333 0.6667 0.2500
Al2 0.6667 0.3333 0.7500
Cr1 0.3333 0.6667 0.7500
Cr2 0.6667 0.3333 0.2500
Cl1 0.0187 0.3805 0.1525
Cl2 0.0187 0.6382 0.3475
Cl3 0.3618 0.3805 0.3475
Cl4 0.3618 0.9813 0.1525
Cl5 0.3805 0.0187 0.6525
Cl6 0.3805 0.3618 0.8475
Cl7 0.6195 0.6382 0.1525
Cl8 0.6195 0.9813 0.3475
Cl9 0.6382 0.0187 0.8475
Cl10 0.6382 0.6195 0.6525
Cl11 0.9813 0.3618 0.6525
Cl12 0.9813 0.6195 0.8475

## Properties
**Formation energy from raw total energies**: -12.762 eV/f.u.
**Density of states at the Fermi level**: 13.8 states/eV/cell
**Mass density**: 2.2 g/cm3
**Calculated volume**: 27.22 Å³ per atom



4.
A relaxed Li2AlCrCl crystal. Source: Alexandria, functional GGA-PBE.

a = 4.2610 Å, b = 4.2610 Å, c = 4.4525 Å
α = 90.00°, β = 90.00°, γ = 90.00°
Sites, in units of the cell vectors:
Li1 0.0000 0.5000 0.0000
Li2 0.5000 0.0000 0.0000
Al1 0.0000 0.0000 0.5000
Cr1 0.5000 0.5000 0.5000
Cl1 0.5000 0.5000 0.0000

## Properties
**Formation energy from raw total energies**: 0.816 eV/f.u.
**Density of states at the Fermi level**: 8.6 states/eV/cell
**Mass density**: 2.6 g/cm3
**Calculated volume**: 16.17 Å³ per atom



5.
A relaxed Mg2AlCrCl crystal. Source: Alexandria, functional GGA-PBE.

a = 4.8605 Å, b = 4.8605 Å, c = 4.6771 Å
α = 90.00°, β = 90.00°, γ = 90.00°
Sites, in units of the cell vectors:
Mg1 0.0000 0.5000 0.0000
Mg2 0.5000 0.0000 0.0000
Al1 0.0000 0.0000 0.5000
Cr1 0.5000 0.5000 0.5000
Cl1 0.5000 0.5000 0.0000

## Properties
**Formation energy from raw total energies**: 1.951 eV/f.u.
**Density of states at the Fermi level**: 2.0 states/eV/cell
**Mass density**: 2.5 g/cm3
**Calculated volume**: 22.10 Å³ per atom



6.
A relaxed NaAlCrCl6 crystal. Source: Alexandria, functional GGA-PBE.

a = 6.3076 Å, b = 6.3076 Å, c = 12.4325 Å
α = 90.00°, β = 90.00°, γ = 120.00°
Sites, in units of the cell vectors:
Na1 0.0000 0.0000 0.0000
Na2 0.0000 0.0000 0.5000
Al1 0.3333 0.6667 0.2500
Al2 0.6667 0.3333 0.7500
Cr1 0.3333 0.6667 0.7500
Cr2 0.6667 0.3333 0.2500
Cl1 0.0188 0.3738 0.1410
Cl2 0.0188 0.6449 0.3590
Cl3 0.3551 0.3738 0.3590
Cl4 0.3551 0.9812 0.1410
Cl5 0.3738 0.0188 0.6410
Cl6 0.3738 0.3551 0.8590
Cl7 0.6262 0.6449 0.1410
Cl8 0.6262 0.9812 0.3590
Cl9 0.6449 0.0188 0.8590
Cl10 0.6449 0.6262 0.6410
Cl11 0.9812 0.3551 0.6410
Cl12 0.9812 0.6262 0.8590

## Properties
**Formation energy from raw total energies**: -12.255 eV/f.u.
**Density of states at the Fermi level**: 13.1 states/eV/cell
**Mass density**: 2.4 g/cm3
**Calculated volume**: 23.80 Å³ per atom



7.
A relaxed AlCrPCl2 crystal. Source: Alexandria, functional GGA-PBE.

a = 4.5791 Å, b = 4.5791 Å, c = 5.0284 Å
α = 90.00°, β = 90.00°, γ = 90.00°
Sites, in units of the cell vectors:
Al1 0.0000 0.0000 0.0000
Cr1 0.5000 0.5000 0.5000
P1 0.0000 0.0000 0.5000
Cl1 0.0000 0.5000 0.0000
Cl2 0.5000 0.0000 0.0000

## Properties
**Formation energy from raw total energies**: 0.018 eV/f.u.
**ΔE to the lowest computed polymorph**: 0.37 eV/f.u.
**Density of states at the Fermi level**: 3.1 states/eV/cell
**Mass density**: 2.8 g/cm3
**Calculated volume**: 21.09 Å³ per atom



8.
A relaxed AlCrPCl2 crystal. Source: Alexandria, functional GGA-PBE.

a = 4.9016 Å, b = 4.9016 Å, c = 4.6453 Å
α = 90.00°, β = 90.00°, γ = 90.00°
Sites, in units of the cell vectors:
Al1 0.0000 0.0000 0.0000
Cr1 0.5000 0.5000 0.5000
P1 0.5000 0.5000 0.0000
Cl1 0.0000 0.5000 0.5000
Cl2 0.5000 0.0000 0.5000

## Properties
**Formation energy from raw total energies**: -0.353 eV/f.u.
**ΔE to the lowest computed polymorph**: 0.00 eV/f.u.
**Density of states at the Fermi level**: 1.0 states/eV/cell
**Mass density**: 2.7 g/cm3
**Calculated volume**: 22.32 Å³ per atom



9.
A relaxed Al2CrPbCl crystal. Source: Alexandria, functional GGA-PBE.

a = 5.0262 Å, b = 5.0262 Å, c = 4.2972 Å
α = 90.00°, β = 90.00°, γ = 90.00°
Sites, in units of the cell vectors:
Al1 0.0000 0.5000 0.0000
Al2 0.5000 0.0000 0.0000
Cr1 0.0000 0.0000 0.0000
Pb1 0.5000 0.5000 0.5000
Cl1 0.0000 0.0000 0.5000

## Properties
**Formation energy from raw total energies**: 1.984 eV/f.u.
**Density of states at the Fermi level**: 4.0 states/eV/cell
**Mass density**: 5.3 g/cm3
**Calculated volume**: 21.71 Å³ per atom



10.
A relaxed AlCrPd2Cl crystal. Source: Alexandria, functional GGA-PBE.

a = 4.6553 Å, b = 4.6553 Å, c = 4.3909 Å
α = 90.00°, β = 90.00°, γ = 90.00°
Sites, in units of the cell vectors:
Al1 0.0000 0.0000 0.0000
Cr1 0.5000 0.5000 0.0000
Pd1 0.0000 0.5000 0.5000
Pd2 0.5000 0.0000 0.5000
Cl1 0.5000 0.5000 0.5000

## Properties
**Formation energy from raw total energies**: 2.399 eV/f.u.
**Density of states at the Fermi level**: 1.8 states/eV/cell
**Mass density**: 5.7 g/cm3
**Calculated volume**: 19.03 Å³ per atom



11.
A relaxed AlCr2SbCl crystal. Source: Alexandria, functional GGA-PBE.

a = 5.0673 Å, b = 5.0673 Å, c = 4.5300 Å
α = 90.00°, β = 90.00°, γ = 90.00°
Sites, in units of the cell vectors:
Al1 0.0000 0.0000 0.0000
Cr1 0.0000 0.5000 0.0000
Cr2 0.5000 0.0000 0.0000
Sb1 0.5000 0.5000 0.5000
Cl1 0.0000 0.0000 0.5000

## Properties
**Formation energy from raw total energies**: 3.999 eV/f.u.
**Density of states at the Fermi level**: 4.2 states/eV/cell
**Mass density**: 4.1 g/cm3
**Calculated volume**: 23.26 Å³ per atom



12.
A relaxed AlCrSe2Cl crystal. Source: Alexandria, functional GGA-PBE.

a = 5.3675 Å, b = 5.3675 Å, c = 4.4407 Å
α = 90.00°, β = 90.00°, γ = 90.00°
Sites, in units of the cell vectors:
Al1 0.0000 0.0000 0.0000
Cr1 0.5000 0.5000 0.0000
Se1 0.0000 0.5000 0.5000
Se2 0.5000 0.0000 0.5000
Cl1 0.5000 0.5000 0.5000

## Properties
**Formation energy from raw total energies**: 3.420 eV/f.u.
**Density of states at the Fermi level**: 3.2 states/eV/cell
**Mass density**: 3.5 g/cm3
**Calculated volume**: 25.59 Å³ per atom



13.
A relaxed AlTlCrCl6 crystal. Source: Alexandria, functional GGA-PBE.

a = 6.3595 Å, b = 6.3595 Å, c = 7.1880 Å
α = 90.02°, β = 90.02°, γ = 119.95°
Sites, in units of the cell vectors:
Al1 0.0000 0.0000 0.0000
Tl1 0.3332 0.6668 0.5000
Cr1 0.6666 0.3334 0.0000
Cl1 0.3149 0.0285 0.1892
Cl2 0.3155 0.2869 0.8112
Cl3 0.7132 0.0290 0.8111
Cl4 0.7131 0.6845 0.1888
Cl5 0.9710 0.2868 0.1889
Cl6 0.9715 0.6851 0.8108

## Properties
**Formation energy from raw total energies**: -10.792 eV/f.u.
**Density of states at the Fermi level**: 6.2 states/eV/cell
**Mass density**: 3.3 g/cm3
**Calculated volume**: 27.99 Å³ per atom